Compound: Sr2ScMn2O6
Source: Alexandria via LeMat-Bulk
Functional: PBE with a Hubbard U
Structure: relaxed

a b c (Å): 6.4018 6.4018 6.4018
angles (deg): 54.45 54.45 54.45
Fractional coordinates of all 11 atoms:
Sr (0.2115, 0.2115, 0.2115)
Sr (0.7885, 0.7885, 0.7885)
Sc (0.0000, 0.0000, 0.0000)
Mn (0.4388, 0.4388, 0.4388)
Mn (0.5612, 0.5612, 0.5612)
O (0.2321, 0.7586, 0.7586)
O (0.2414, 0.2414, 0.7679)
O (0.2414, 0.7680, 0.2414)
O (0.7586, 0.2321, 0.7586)
O (0.7586, 0.7586, 0.2321)
O (0.7679, 0.2414, 0.2414)

Computed properties:
V (Å³/f.u.): 161.5
Raw total energy (eV/atom): -6.806
Space group: R-3m, No. 166